# 1
A geometry-optimized UGeAu2 structure, computed with PBE.

Crystal system: cubic

Cell: 6.929 6.929 6.929 Å, 90.00 90.00 90.00°
Space group Fm-3m (No. 225)
One atom of each set of equivalent atoms:
U: 0.000 0.000 0.000
Ge: 0.000 0.000 0.500
Au: 0.250 0.250 0.250

# 2
A geometry-optimized CsHgAsPd2 structure, computed with PBE.

Crystal system: monoclinic

Cell: 6.242 4.129 10.958 Å, 90.00 99.54 90.00°
Space group P2_1/m (No. 11)
One atom of each set of equivalent atoms:
Cs: 0.197 0.250 0.351
Hg: 0.293 0.250 0.719
As: 0.275 0.750 0.088
Pd: 0.132 0.250 0.962
Pd: 0.442 0.750 0.900

| no. | energy of formation (meV/atom) | D(E_F) (states/eV per cell) |
| --- | --- | --- |
| 1 | -112 | 29.4 |
| 2 | -339 | 3.2 |